# 1
Material: SrNi10P6
Method: DFT, GGA-PBE
State: relaxed

a b c (Å): 15.988 6.447 8.715
angles (deg): 90.00 90.00 90.00
Space group Pnma (No. 62)
Asymmetric unit:
1 Sr 0.249 0.250 0.016 x4
2 Ni 0.039 0.750 0.307 x4
3 Ni 0.052 0.250 0.223 x4
4 Ni 0.076 0.551 0.047 x8
5 Ni 0.077 0.050 0.485 x8
6 Ni 0.084 0.502 0.766 x8
7 Ni 0.206 0.250 0.393 x4
8 Ni 0.208 0.750 0.133 x4
9 P 0.041 0.750 0.581 x4
10 P 0.043 0.250 0.940 x4
11 P 0.146 0.508 0.267 x8
12 P 0.156 0.250 0.645 x4
13 P 0.159 0.750 0.886 x4


# 2
Material: NdScGa4Pt2
Method: DFT, GGA-PBE
State: relaxed

a b c (Å): 6.723 4.350 10.159
angles (deg): 90.00 90.00 90.00
Space group Amm2 (No. 38)
Asymmetric unit:
1 Nd 0.000 0.000 0.000 x2
2 Sc 0.500 0.000 0.833 x2
3 Ga 0.206 0.000 0.290 x4
4 Ga 0.307 0.000 0.552 x4
5 Pt 0.000 0.000 0.713 x2
6 Pt 0.500 0.000 0.122 x2


# 3
Material: FeSn4H24C8Se10N2
Method: DFT, GGA-PBE
State: relaxed

a b c (Å): 9.976 9.976 15.522
angles (deg): 90.00 90.00 90.00
Space group I-4 (No. 82)
Asymmetric unit:
1 Fe 0.000 0.000 0.000 x2
2 Sn 0.077 0.310 0.844 x8
3 H 0.019 0.149 0.404 x8
4 H 0.053 0.362 0.347 x8
5 H 0.058 0.703 0.265 x8
6 H 0.061 0.139 0.596 x8
7 H 0.090 0.379 0.154 x8
8 H 0.105 0.816 0.486 x8
9 C 0.034 0.617 0.306 x8
10 C 0.061 0.893 0.444 x8
11 Se 0.000 0.500 0.554 x4
12 Se 0.116 0.779 0.750 x8
13 Se 0.118 0.822 0.072 x8
14 N 0.000 0.000 0.500 x2
15 N 0.000 0.500 0.250 x2


# 4
Material: CsNbSeS
Method: DFT, GGA-PBE
State: relaxed

a b c (Å): 3.7488 3.7488 16.3990
angles (deg): 90.00 90.00 120.00
Space group P-6m2 (No. 187)
Asymmetric unit:
1 Cs 0.0000 0.0000 0.0000 x1
2 Cs 0.3333 0.6667 0.5000 x1
3 Nb 0.6667 0.3333 0.2598 x2
4 Se 0.3333 0.6667 0.1635 x2
5 S 0.0000 0.0000 0.3433 x2


# 5
Material: Hf2Ga2Au
Method: DFT, GGA-PBE
State: relaxed

Relative energy among the computed polymorphs (eV/atom): 0.564

a b c (Å): 3.792 3.792 13.310
angles (deg): 90.00 90.00 90.00
Space group I4/mmm (No. 139)
Asymmetric unit:
1 Hf 0.000 0.000 0.100 x4
2 Ga 0.000 0.500 0.250 x4
3 Au 0.000 0.000 0.500 x2


# 6
Material: Pt
Method: DFT, GGA-PBE
State: relaxed

Relative energy among the computed polymorphs (eV/atom): 0.003

a b c (Å): 2.775 2.775 4.028
angles (deg): 90.00 90.00 90.00
Space group I4/mmm (No. 139)
Asymmetric unit:
1 Pt 0.000 0.000 0.000 x2


For reference, spin magnetization by record: 0.01, 0.00, 4.00, 0.00, 0.03, 0.01 μB/f.u..
For reference, VASP energy by record: -5.918, -5.279, -4.915, -5.506, -5.798, -6.053 eV/atom.